BaCaGeP2 | PBE-GGA | relaxed

Cell: 7.3383 5.1651 7.8138 Å, 90.00 105.28 90.00°
Closest atoms and distances in Å follow each position.
Sites, in units of the cell vectors:
Ba 0.0000 0.2113 0.2500  6 P 3.22-3.34
Ba 0.0000 0.7887 0.7500  6 P 3.22-3.34
Ca 0.5000 0.4754 0.7500  4 P 2.91-2.92, 2 Ge 3.14
Ca 0.5000 0.5246 0.2500  4 P 2.91-2.92, 2 Ge 3.14
Ge 0.5000 0.0000 0.0000  2 P 2.30
Ge 0.5000 0.0000 0.5000  2 P 2.30
P 0.2436 0.2732 0.9459  1 Ge 2.30
P 0.2436 0.7268 0.4459  1 Ge 2.30
P 0.7564 0.2732 0.5541  1 Ge 2.30
P 0.7564 0.7268 0.0541  1 Ge 2.30

Results
Theoretical density   3.63 Mg/m³
Formation energy   -0.557 eV per atom